Entry 1:
First-principles (GGA-PBE) data for a geometry-optimized Li2ZrCd2 structure, as listed in Alexandria.

Values from the calculation:
Crystal system: tetragonal
Calculated formation energy in meV/atom: -107

Structure (POSCAR):
```
Li2ZrCd2
1.0
8.030 0.000 0.000
0.000 8.030 0.000
0.000 0.000 2.902
Cd Zr Li
4 2 4
Cartesian
6.579 2.564 1.451
5.467 6.579 1.451
2.564 1.451 1.451
1.451 5.467 1.451
4.015 4.015 0.000
0.000 0.000 0.000
0.950 3.065 0.000
4.965 0.950 0.000
3.065 7.080 0.000
7.080 4.965 0.000
```

Entry 2:
First-principles (GGA-PBE) data for a geometry-optimized TbTm2In2Ag2 structure, as listed in Alexandria.

Values from the calculation:
Crystal system: trigonal
Calculated formation energy in meV/atom: -265

Structure (POSCAR):
```
TbTm2In2Ag2
1.0
4.836 0.000 0.000
2.418 4.188 0.000
2.418 1.396 8.788
In Tb Tm Ag
2 1 2 2
Cartesian
7.254 4.188 6.810
2.418 1.396 1.977
0.000 0.000 0.000
7.254 4.188 3.344
2.418 1.396 5.443
4.836 2.792 1.768
4.836 2.792 7.019
```

Entry 3:
First-principles (GGA-PBE) data for a geometry-optimized GaGe2Pt structure, as listed in Alexandria.

Values from the calculation:
Crystal system: tetragonal
Calculated formation energy in meV/atom: -37

Structure (POSCAR):
```
GaGe2Pt
1.0
-2.837 1.872 -2.416
-1.925 -3.655 -0.572
-7.178 0.576 5.275
Ge Ga Pt
4 2 2
Cartesian
-9.572 -1.169 1.336
-7.147 -0.195 2.843
-3.840 0.878 -0.290
-3.320 -1.927 0.687
-5.742 -1.985 1.605
-2.381 -0.891 -1.494
-6.198 0.778 0.683
0.000 0.000 0.000
```

Entry 4:
First-principles (GGA-PBE) data for a geometry-optimized BaCd2GaAu structure, as listed in Alexandria.

Values from the calculation:
Crystal system: orthorhombic
Calculated formation energy in meV/atom: -389

Structure (POSCAR):
```
BaCd2GaAu
1.0
4.578 0.000 0.000
0.000 4.809 0.000
-2.289 -2.404 6.083
Ga Au Ba Cd
1 1 1 2
Cartesian
0.000 2.404 2.430
2.289 2.404 3.919
0.000 0.000 5.326
2.289 0.000 2.400
0.000 0.000 0.674
```

Entry 5:
First-principles (GGA-PBE) data for a geometry-optimized LiCu2SiTe4 structure, as listed in Alexandria.

Values from the calculation:
Formation energy without anion corrections in eV per formula unit: -1.93
Crystal system: tetragonal

Structure (POSCAR):
```
LiCu2SiTe4
1.0
-4.342 -4.351 -0.494
2.708 -2.121 -5.118
4.045 -0.348 5.999
Te Cu Li Si
4 2 1 1
Cartesian
2.772 -1.112 3.691
1.699 -3.643 -3.069
-1.647 -4.701 -0.875
1.997 -4.184 1.026
-0.557 -3.967 1.349
2.968 -2.852 -0.963
0.001 -0.001 0.001
3.227 -3.584 3.192
```

Entry 6:
First-principles (GGA-PBE) data for a geometry-optimized YLuMg structure, as listed in Alexandria.

Values from the calculation:
Crystal system: tetragonal
Calculated formation energy in meV/atom: -36

Structure (POSCAR):
```
YLuMg
1.0
-2.805 2.265 -0.111
-2.182 -2.648 1.113
3.616 1.887 5.730
Lu Y Mg
1 1 1
Cartesian
0.731 1.105 4.060
0.013 0.019 0.070
-2.115 0.380 2.603
```

Copy entry 6 word for word.
First-principles (GGA-PBE) data for a geometry-optimized YLuMg structure, as listed in Alexandria.

Values from the calculation:
Crystal system: tetragonal
Calculated formation energy in meV/atom: -36

Structure (POSCAR):
```
YLuMg
1.0
-2.805 2.265 -0.111
-2.182 -2.648 1.113
3.616 1.887 5.730
Lu Y Mg
1 1 1
Cartesian
0.731 1.105 4.060
0.013 0.019 0.070
-2.115 0.380 2.603
```